Pm3Tm2UN6 | GGA-PBE | optimized geometry

SG = No. 12
Energy relative to the elements, uncorrected = -1.596 eV per atom

Unit cell a=6.0278 b=6.0278 c=6.1131 alpha=99.46 beta=99.46 gamma=119.95
Atoms (fractional coordinates):
1 U 0.0000 0.0000 0.0000
2 Pm 0.8316 0.1684 0.5000
3 Pm 0.5000 0.5000 0.5000
4 Pm 0.1684 0.8316 0.5000
5 N 0.2419 0.2419 0.7772
6 N 0.6099 0.9259 0.7776
7 N 0.9259 0.6099 0.7776
8 N 0.7581 0.7581 0.2228
9 N 0.3901 0.0741 0.2224
10 N 0.0741 0.3901 0.2224
11 Tm 0.6663 0.3337 0.0000
12 Tm 0.3337 0.6663 0.0000

BaCaPmIn | GGA-PBE | optimized geometry

SG = No. 216
Formation energy from the elements = -0.103 eV/atom

Unit cell a=5.8883 b=5.8883 c=5.8883 alpha=60.00 beta=60.00 gamma=60.00
Atoms (fractional coordinates):
1 Ba 0.0000 0.0000 0.0000
2 Pm 0.5000 0.5000 0.5000
3 In 0.7500 0.7500 0.7500
4 Ca 0.2500 0.2500 0.2500

KHoHg | GGA-PBE | optimized geometry

SG = No. 38
Formation energy from the elements = 0.036 eV/atom

Unit cell a=3.8718 b=3.8724 c=16.8554 alpha=90.00 beta=90.00 gamma=119.99
Atoms (fractional coordinates):
1 Ho 0.6114 0.2228 0.3755
2 Ho 0.6114 0.2228 0.6245
3 Hg 0.6106 0.2212 0.0000
4 Hg 0.2782 0.5563 0.5000
5 K 0.2776 0.5551 0.8318
6 K 0.2776 0.5551 0.1682

RhWAu2 | GGA-PBE | optimized geometry

Relative energy among the computed polymorphs = 23.9 kJ per mole of atoms
SG = No. 123
Formation energy from the elements = 0.295 eV/atom

Unit cell a=2.8229 b=2.8229 c=8.1739 alpha=90.00 beta=90.00 gamma=90.00
Atoms (fractional coordinates):
1 Au 0.0000 0.0000 0.7516
2 Au 0.0000 0.0000 0.2484
3 Rh 0.5000 0.5000 0.0000
4 W 0.5000 0.5000 0.5000